Here is a relaxed structure of Tb6SmDy2 from the Alexandria database. Energies are from GGA-PBE.

Lattice parameters (Å, degrees): 11.5353 3.4607 15.2495 90.00 100.93 90.00
Closest atoms and distances in Å follow each position.
Space group C2/m (No. 12)
Symmetry-distinct sites (fractional):
Tb  0.0395  0.0000  0.2316 (multiplicity 4)  3 Dy 3.44-3.54, 7 Tb 3.46-3.81, 1 Sm 3.47
Tb  0.1264  0.5000  0.4371 (multiplicity 4)  4 Dy 3.44-3.54, 7 Tb 3.46-3.78
Tb  0.2068  0.5000  0.8956 (multiplicity 4)  1 Dy 3.44, 3 Sm 3.45-3.56, 7 Tb 3.46-3.81
Sm  0.0000  0.0000  0.0000 (multiplicity 2)  8 Tb 3.45-3.56, 2 Sm 3.46
Dy  0.1675  0.5000  0.6663 (multiplicity 4)  8 Tb 3.44-3.54, 2 Dy 3.46

Output
* distance to the lowest polymorph of the same formula: 0 meV per atom
* N(E_F): 39.06 states/eV per cell
* E_form: 0.1959 eV/atom
* total magnetization: 0.0 μB per cell


Here is a relaxed structure of LaTe2AuCl from the Alexandria database. Energies are from GGA-PBE.

Lattice parameters (Å, degrees): 5.5273 5.5273 4.9520 90.00 90.00 90.00
Closest atoms and distances in Å follow each position.
Space group P4/mmm (No. 123)
Symmetry-distinct sites (fractional):
La  0.0000  0.0000  0.0000 (multiplicity 1)  8 Te 3.71, 4 Cl 3.91
Te  0.0000  0.5000  0.5000 (multiplicity 2)  2 Au 2.76
Au  0.5000  0.5000  0.5000 (multiplicity 1)  2 Cl 2.48, 4 Te 2.76
Cl  0.5000  0.5000  0.0000 (multiplicity 1)  2 Au 2.48

Output
* N(E_F): 1.41 states/eV per cell
* E: -3.91 eV/atom
* total magnetization: 0.0 μB per cell


Look up the N(E_F) of the first one.
39.06 states/eV per cell


N(E_F) of number 2 (LaTe2AuCl)?
1.41 states/eV per cell